# 1
Density functional theory data (GGA-PBE) for crystalline CaGaW3 at its relaxed geometry.

Calculated values
The volume comes out at 100.34 Å³/cell. The relative energy among the computed polymorphs is 1459.6 meV/atom. The energy of formation from the pure elements is 3129 meV/atom. The total energy is -28.2 eV/cell.

Cell: 4.647 4.647 4.647 Å, 90.00 90.00 90.00°
Sites, in units of the cell vectors:
Ca: 0.000 0.000 0.000
Ga: 0.500 0.500 0.500
W: 0.000 0.500 0.000
W: 0.000 0.000 0.500
W: 0.500 0.000 0.000

# 2
Density functional theory data (GGA-PBE) for crystalline RePb2 at its relaxed geometry.

Calculated values
The volume comes out at 162.50 Å³/cell. The relative energy among the computed polymorphs is 1340.4 meV/atom. The energy of formation from the pure elements is 1901 meV/atom. The total energy is -28.3 eV/cell.

Cell: 6.125 6.125 6.125 Å, 60.00 60.00 60.00°
Sites, in units of the cell vectors:
Re: 0.500 0.500 0.500
Re: 0.750 0.750 0.750
Pb: 0.625 0.125 0.125
Pb: 0.125 0.625 0.125
Pb: 0.125 0.125 0.625
Pb: 0.125 0.125 0.125

# 3
Density functional theory data (GGA-PBE) for crystalline NdDyGe2Pd5 at its relaxed geometry.

Calculated values
The volume comes out at 167.02 Å³/cell. The energy of formation from the pure elements is -795 meV/atom. The total energy is -51.7 eV/cell.

Cell: 4.276 4.276 9.135 Å, 90.00 90.00 90.00°
Sites, in units of the cell vectors:
Nd: 0.000 0.000 0.500
Dy: 0.000 0.000 0.000
Ge: 0.500 0.500 0.134
Ge: 0.500 0.500 0.866
Pd: 0.000 0.500 0.271
Pd: 0.500 0.000 0.271
Pd: 0.000 0.500 0.729
Pd: 0.500 0.000 0.729
Pd: 0.500 0.500 0.500

# 4
Density functional theory data (GGA-PBE) for crystalline Cs2CdIn4Pb3 at its relaxed geometry.

Calculated values
The volume comes out at 358.75 Å³/cell. The energy of formation from the pure elements is -101 meV/atom. The total energy is -25.7 eV/cell.

Cell: 5.326 5.326 12.647 Å, 90.00 90.00 90.00°
Sites, in units of the cell vectors:
Cs: 0.500 0.000 0.247
Cs: 0.000 0.500 0.753
Cd: 0.500 0.500 0.500
In: 0.500 0.500 0.000
In: 0.000 0.000 0.000
In: 0.500 0.000 0.624
In: 0.000 0.500 0.376
Pb: 0.000 0.000 0.500
Pb: 0.500 0.000 0.868
Pb: 0.000 0.500 0.132

# 5
Density functional theory data (GGA-PBE) for crystalline PaTl2Bi at its relaxed geometry.

Calculated values
The volume comes out at 120.04 Å³/cell. The relative energy among the computed polymorphs is 317.1 meV/atom. The energy of formation from the pure elements is 316 meV/atom. The total energy is -16.8 eV/cell.

Cell: 3.351 3.351 12.497 Å, 82.30 82.30 60.00°
Sites, in units of the cell vectors:
Tl: 0.087 0.087 0.739
Tl: 0.913 0.913 0.261
Pa: 0.000 0.000 0.000
Bi: 0.500 0.500 0.500

# 6
Density functional theory data (GGA-PBE) for crystalline La3Ce7Os4 at its relaxed geometry.

Calculated values
The volume comes out at 356.25 Å³/cell. The energy of formation from the pure elements is -97 meV/atom. The total energy is -102.6 eV/cell.

Cell: 4.772 9.215 9.028 Å, 71.43 74.68 74.99°
Sites, in units of the cell vectors:
La: 0.308 0.190 0.195
La: 0.692 0.810 0.805
La: 0.000 0.500 0.500
Ce: 0.295 0.838 0.571
Ce: 0.503 0.220 0.773
Ce: 0.842 0.391 0.926
Ce: 0.705 0.162 0.429
Ce: 0.158 0.609 0.074
Ce: 0.000 0.000 0.000
Ce: 0.497 0.780 0.227
Os: 0.654 0.470 0.222
Os: 0.346 0.530 0.778
Os: 0.885 0.871 0.359
Os: 0.115 0.129 0.641

# 7
Density functional theory data (GGA-PBE) for crystalline Li3HgO at its relaxed geometry.

Calculated values
The volume comes out at 148.72 Å³/cell. The relative energy among the computed polymorphs is 0.0 meV/atom. For the uncorrected formation energy, the calculation gives -1158.3 meV/atom. The total energy is -33.6 eV/cell.

Cell: 3.655 5.423 8.318 Å, 105.63 90.00 109.69°
Sites, in units of the cell vectors:
Li: 0.070 0.140 0.135
Li: 0.930 0.860 0.865
Li: 0.677 0.355 0.958
Li: 0.323 0.645 0.042
Li: 0.882 0.763 0.295
Li: 0.118 0.237 0.705
Hg: 0.375 0.749 0.574
Hg: 0.625 0.251 0.426
O: 0.124 0.248 0.933
O: 0.876 0.752 0.067

# 8
Density functional theory data (GGA-PBE) for crystalline TaReTc2 at its relaxed geometry.

Calculated values
The volume comes out at 62.09 Å³/cell. The relative energy among the computed polymorphs is 29.5 meV/atom. The energy of formation from the pure elements is -47 meV/atom. The total energy is -45.2 eV/cell.

Cell: 4.445 4.445 4.445 Å, 60.00 60.00 60.00°
Sites, in units of the cell vectors:
Re: 0.500 0.500 0.500
Tc: 0.250 0.250 0.250
Tc: 0.750 0.750 0.750
Ta: 0.000 0.000 0.000

# 9
Density functional theory data (GGA-PBE) for crystalline PmGdTlRh at its relaxed geometry.

Calculated values
The volume comes out at 99.91 Å³/cell. The energy of formation from the pure elements is -436 meV/atom. The total energy is -30.3 eV/cell.

Cell: 5.209 5.209 5.209 Å, 60.00 60.00 60.00°
Sites, in units of the cell vectors:
Tl: 0.000 0.000 0.000
Gd: 0.750 0.750 0.750
Rh: 0.500 0.500 0.500
Pm: 0.250 0.250 0.250

# 10
Density functional theory data (GGA-PBE) for crystalline PrMg6Ge2 at its relaxed geometry.

Calculated values
The volume comes out at 201.49 Å³/cell. The energy of formation from the pure elements is -277 meV/atom. The total energy is -26.1 eV/cell.

Cell: 4.362 4.362 10.589 Å, 90.00 90.00 90.00°
Sites, in units of the cell vectors:
Pr: 0.000 0.000 0.000
Mg: 0.000 0.500 0.278
Mg: 0.500 0.000 0.278
Mg: 0.000 0.500 0.722
Mg: 0.500 0.000 0.722
Mg: 0.500 0.500 0.500
Mg: 0.000 0.000 0.500
Ge: 0.500 0.500 0.119
Ge: 0.500 0.500 0.881

# 11
Density functional theory data (GGA-PBE) for crystalline CaPrDy2 at its relaxed geometry.

Calculated values
The volume comes out at 141.06 Å³/cell. The relative energy among the computed polymorphs is 103.2 meV/atom. The energy of formation from the pure elements is 167 meV/atom. The total energy is -15.3 eV/cell.

Cell: 3.583 3.583 12.853 Å, 81.99 81.99 60.00°
Sites, in units of the cell vectors:
Pr: 0.500 0.500 0.500
Ca: 0.000 0.000 0.000
Dy: 0.090 0.090 0.730
Dy: 0.910 0.910 0.270

# 12
Density functional theory data (GGA-PBE) for crystalline LiScRh3 at its relaxed geometry.

Calculated values
The volume comes out at 73.77 Å³/cell. The relative energy among the computed polymorphs is 0.0 meV/atom. The energy of formation from the pure elements is -17 meV/atom. The total energy is -30.4 eV/cell.

Cell: 4.194 4.194 4.194 Å, 90.00 90.00 90.00°
Sites, in units of the cell vectors:
Sc: 0.500 0.500 0.500
Rh: 0.000 0.500 0.000
Rh: 0.000 0.000 0.500
Rh: 0.500 0.000 0.000
Li: 0.000 0.000 0.000

# 13
Density functional theory data (GGA-PBE) for crystalline Zr2AgRh at its relaxed geometry.

Calculated values
The volume comes out at 76.83 Å³/cell. The energy of formation from the pure elements is -365 meV/atom. The total energy is -28.8 eV/cell.

Cell: 3.380 3.076 8.004 Å, 67.40 90.00 90.00°
Sites, in units of the cell vectors:
Ag: 0.500 0.250 0.250
Rh: 0.500 0.750 0.750
Zr: 0.000 0.020 0.980
Zr: 0.000 0.480 0.520

# 14
Density functional theory data (GGA-PBE) for crystalline KSnOs3 at its relaxed geometry.

Calculated values
The volume comes out at 99.84 Å³/cell. The relative energy among the computed polymorphs is 1159.8 meV/atom. The energy of formation from the pure elements is 3591 meV/atom. The total energy is -20.8 eV/cell.

Cell: 4.639 4.639 4.639 Å, 90.00 90.00 90.00°
Sites, in units of the cell vectors:
K: 0.000 0.000 0.000
Os: 0.000 0.500 0.000
Os: 0.000 0.000 0.500
Os: 0.500 0.000 0.000
Sn: 0.500 0.500 0.500

# 15
Density functional theory data (GGA-PBE) for crystalline Np2TcC at its relaxed geometry.

Calculated values
The volume comes out at 66.66 Å³/cell. The relative energy among the computed polymorphs is 9.5 meV/atom. The energy of formation from the pure elements is 319 meV/atom. The total energy is -44.2 eV/cell.

Cell: 3.218 3.218 7.662 Å, 77.88 77.88 60.00°
Sites, in units of the cell vectors:
Np: 0.765 0.765 0.704
Np: 0.235 0.235 0.296
C: 0.500 0.500 0.500
Tc: 0.000 0.000 0.000

# 16
Density functional theory data (GGA-PBE) for crystalline YP2Br at its relaxed geometry.

Calculated values
The volume comes out at 84.66 Å³/cell. The relative energy among the computed polymorphs is 779.6 meV/atom. For the uncorrected formation energy, the calculation gives -125.1 meV/atom. The total energy is -19.5 eV/cell.

Cell: 4.929 4.929 4.929 Å, 60.00 60.00 60.00°
Sites, in units of the cell vectors:
Br: 0.500 0.500 0.500
P: 0.000 0.000 0.000
P: 0.250 0.250 0.250
Y: 0.750 0.750 0.750

# 17
Density functional theory data (GGA-PBE) for crystalline CdGa2CoGe at its relaxed geometry.

Calculated values
The volume comes out at 98.27 Å³/cell. The energy of formation from the pure elements is 15 meV/atom. The total energy is -18.6 eV/cell.

Cell: 4.663 4.663 4.519 Å, 90.00 90.00 90.00°
Sites, in units of the cell vectors:
Ge: 0.000 0.000 0.500
Co: 0.000 0.000 0.000
Ga: 0.000 0.500 0.000
Ga: 0.500 0.000 0.000
Cd: 0.500 0.500 0.500

# 18
Density functional theory data (GGA-PBE) for crystalline LiLa2Zn at its relaxed geometry.

Calculated values
The volume comes out at 112.73 Å³/cell. The energy of formation from the pure elements is 36 meV/atom. The total energy is -12.9 eV/cell.

Cell: 9.513 9.513 9.513 Å, 22.72 22.72 22.72°
Sites, in units of the cell vectors:
La: 0.014 0.014 0.014
La: 0.242 0.242 0.242
Li: 0.480 0.480 0.480
Zn: 0.764 0.764 0.764

# 19
Density functional theory data (GGA-PBE) for crystalline ReSeCl at its relaxed geometry.

Calculated values
The volume comes out at 67.62 Å³/cell. The relative energy among the computed polymorphs is 2005.3 meV/atom. For the uncorrected formation energy, the calculation gives 1433.0 meV/atom. The total energy is -13.5 eV/cell.

Cell: 4.573 4.573 4.573 Å, 60.00 60.00 60.00°
Sites, in units of the cell vectors:
Cl: 0.000 0.000 0.000
Re: 0.500 0.500 0.500
Se: 0.750 0.750 0.750

# 20
Density functional theory data (GGA-PBE) for crystalline PuMgTlGe at its relaxed geometry.

Calculated values
The volume comes out at 94.68 Å³/cell. The energy of formation from the pure elements is -125 meV/atom. The total energy is -23.4 eV/cell.

Cell: 5.116 5.116 5.116 Å, 60.00 60.00 60.00°
Sites, in units of the cell vectors:
Mg: 0.750 0.750 0.750
Tl: 0.500 0.500 0.500
Ge: 0.000 0.000 0.000
Pu: 0.250 0.250 0.250

# 21
Density functional theory data (GGA-PBE) for crystalline LaFeW3 at its relaxed geometry.

Calculated values
The volume comes out at 100.23 Å³/cell. The relative energy among the computed polymorphs is 0.0 meV/atom. The energy of formation from the pure elements is 1098 meV/atom. The total energy is -46.8 eV/cell.

Cell: 4.645 4.645 4.645 Å, 90.00 90.00 90.00°
Sites, in units of the cell vectors:
Fe: 0.000 0.000 0.000
W: 0.000 0.500 0.000
W: 0.000 0.000 0.500
W: 0.500 0.000 0.000
La: 0.500 0.500 0.500

# 22
Density functional theory data (GGA-PBE) for crystalline TlSnH at its relaxed geometry.

Calculated values
The volume comes out at 288.38 Å³/cell. The relative energy among the computed polymorphs is 131.9 meV/atom. The total energy is -36.8 eV/cell.

Cell: 7.510 5.089 7.546 Å, 90.00 90.00 90.00°
Sites, in units of the cell vectors:
H: 0.917 0.250 0.736
H: 0.583 0.750 0.236
H: 0.083 0.750 0.264
H: 0.417 0.250 0.764
Tl: 0.873 0.250 0.425
Tl: 0.627 0.750 0.925
Tl: 0.127 0.750 0.575
Tl: 0.373 0.250 0.075
Sn: 0.392 0.250 0.524
Sn: 0.108 0.750 0.024
Sn: 0.608 0.750 0.476
Sn: 0.892 0.250 0.976

# 23
Density functional theory data (GGA-PBE) for crystalline TbSiSn at its relaxed geometry.

Calculated values
The volume comes out at 140.03 Å³/cell. For the uncorrected formation energy, the calculation gives -569.6 meV/atom. The total energy is -31.5 eV/cell.

Cell: 3.963 4.295 8.501 Å, 75.37 90.00 90.00°
Sites, in units of the cell vectors:
Tb: 0.250 0.906 0.187
Tb: 0.750 0.094 0.813
Sn: 0.250 0.258 0.483
Sn: 0.750 0.742 0.517
Si: 0.250 0.546 0.909
Si: 0.750 0.454 0.091

# 24
Density functional theory data (GGA-PBE) for crystalline MnAlS4 at its relaxed geometry.

Calculated values
The volume comes out at 113.59 Å³/cell. For the uncorrected formation energy, the calculation gives -590.7 meV/atom. The total energy is -33.0 eV/cell.

Cell: 3.311 5.772 5.945 Å, 89.12 90.00 90.00°
Sites, in units of the cell vectors:
Mn: 0.000 0.000 0.000
Al: 0.500 0.000 0.500
S: 0.000 0.765 0.683
S: 0.500 0.231 0.835
S: 0.500 0.769 0.165
S: 0.000 0.235 0.317

# 25
Density functional theory data (GGA-PBE) for crystalline CaSi at its relaxed geometry.

Calculated values
The volume comes out at 99.13 Å³/cell. For the uncorrected formation energy, the calculation gives 23.3 meV/atom. The total energy is -14.8 eV/cell.

Cell: 3.119 5.213 6.095 Å, 90.00 90.00 90.00°
Sites, in units of the cell vectors:
Ca: 0.000 0.000 0.124
Ca: 0.500 0.500 0.626
Si: 0.000 0.000 0.624
Si: 0.500 0.500 0.126

# 26
Density functional theory data (GGA-PBE) for crystalline FeReIr3 at its relaxed geometry.

Calculated values
The volume comes out at 83.35 Å³/cell. The relative energy among the computed polymorphs is 1835.7 meV/atom. The energy of formation from the pure elements is 1774 meV/atom. The total energy is -38.6 eV/cell.

Cell: 4.368 4.368 4.368 Å, 90.00 90.00 90.00°
Sites, in units of the cell vectors:
Re: 0.500 0.500 0.500
Ir: 0.000 0.500 0.000
Ir: 0.000 0.000 0.500
Ir: 0.500 0.000 0.000
Fe: 0.000 0.000 0.000

# 27
Density functional theory data (GGA-PBE) for crystalline PrPa2Se5 at its relaxed geometry.

Calculated values
The volume comes out at 399.58 Å³/cell. For the uncorrected formation energy, the calculation gives -1496.6 meV/atom. The total energy is -106.3 eV/cell.

Cell: 7.696 7.696 8.668 Å, 116.35 116.35 90.00°
Sites, in units of the cell vectors:
Pr: 0.750 0.750 0.500
Pr: 0.250 0.250 0.500
Pa: 0.149 0.351 0.000
Pa: 0.649 0.149 0.000
Pa: 0.351 0.851 0.000
Pa: 0.851 0.649 0.000
Se: 0.512 0.698 0.710
Se: 0.802 0.988 0.290
Se: 0.000 0.000 0.000
Se: 0.500 0.500 0.000
Se: 0.198 0.012 0.710
Se: 0.698 0.198 0.710
Se: 0.012 0.512 0.710
Se: 0.302 0.802 0.290
Se: 0.988 0.488 0.290
Se: 0.488 0.302 0.290